# 1
A PBEsol-optimized structure of MgBrCl. Source: Alexandria via LeMat-Bulk, functional SCAN.

**Energy relative to the elements, uncorrected**: -0.70 eV/atom
**Total moment**: 0.0 μB/cell
**Energy relative to the lowest polymorph listed for this composition**: 112.6 kJ per mole of atoms

abc: 6.708 6.708 6.708
angles: 90.00 90.00 90.00
Space group F-43m (No. 216)
Unique sites:
Mg (0.000, 0.000, 0.000) x4
Br (0.000, 0.000, 0.500) x4
Cl (0.250, 0.250, 0.750) x4

=====

# 2
A PBEsol-optimized structure of ScPPt2. Source: Alexandria via LeMat-Bulk, functional SCAN.

**ΔH_f (0 K)**: -0.876 eV per atom
**Total moment**: 0.0 μB/cell

abc: 3.833 3.833 8.338
angles: 90.00 90.00 90.00
Space group I4/mmm (No. 139)
Unique sites:
Sc (0.000, 0.000, 0.000) x2
P (0.000, 0.000, 0.500) x2
Pt (0.000, 0.500, 0.250) x4

=====

# 3
A PBEsol-optimized structure of SiNi2Pt. Source: Alexandria via LeMat-Bulk, functional SCAN.

**Energy relative to the elements, uncorrected**: -0.46 eV/atom
**Total moment**: 0.0 μB/cell

abc: 3.684 3.684 6.940
angles: 90.00 90.00 90.00
Space group I-4m2 (No. 119)
Unique sites:
Si (0.000, 0.000, 0.000) x2
Ni (0.000, 0.000, 0.500) x2
Ni (0.000, 0.500, 0.250) x2
Pt (0.000, 0.500, 0.750) x2

=====

# 4
A PBEsol-optimized structure of K5Cl. Source: Alexandria via LeMat-Bulk, functional SCAN.

**Energy relative to the elements, uncorrected**: -0.60 eV/atom
**Total moment**: 0.0 μB/cell

abc: 9.8395 9.8395 4.3638
angles: 90.00 90.00 120.00
Space group P-62m (No. 189)
Unique sites:
K (0.0000, 0.7645, 0.0000) x3
K (0.3333, 0.6667, 0.5000) x2
Cl (0.0000, 0.0000, 0.5000) x1

=====

# 5
A PBEsol-optimized structure of Li2ZnNi. Source: Alexandria via LeMat-Bulk, functional SCAN.

**ΔH_f (0 K)**: -0.122 eV per atom
**Total moment**: 0.0 μB/cell

abc: 5.803 5.803 5.803
angles: 90.00 90.00 90.00
Space group F-43m (No. 216)
Unique sites:
Li (0.000, 0.000, 0.000) x4
Li (0.250, 0.250, 0.250) x4
Zn (0.000, 0.000, 0.500) x4
Ni (0.250, 0.250, 0.750) x4

=====

# 6
A PBEsol-optimized structure of Li3MnCoO5. Source: Alexandria via LeMat-Bulk, functional SCAN.

**Energy relative to the elements, uncorrected**: -2.12 eV/atom
**Total moment**: 11.9 μB/cell

abc: 20.126 2.822 5.714
angles: 90.00 97.57 90.00
Space group C2/m (No. 12)
Unique sites:
Li (0.000, 0.000, 0.000) x2
Li (0.000, 0.000, 0.500) x2
Li (0.092, 0.500, 0.289) x4
Li (0.201, 0.000, 0.104) x4
Mn (0.097, 0.500, 0.802) x4
Co (0.200, 0.000, 0.599) x4
O (0.008, 0.500, 0.752) x4
O (0.102, 0.000, 0.026) x4
O (0.105, 0.000, 0.572) x4
O (0.197, 0.500, 0.824) x4
O (0.205, 0.500, 0.380) x4